(1)
AuBrCl | PBE | optimized geometry

ρ: 5.293 Mg/m³
Offset from the most stable computed form: 0.024 eV per atom
Uncorrected formation energy: -136 meV per atom

Unit cell a=7.5587 b=6.6009 c=4.5366 alpha=83.27 beta=60.14 gamma=36.59
Fractional coordinates of all 3 atoms:
Au 0.0037 0.0037 0.9963
Br 0.3648 0.3648 0.6352
Cl 0.6315 0.6315 0.3685


(2)
AuBrCl2 | PBE | optimized geometry

ρ: 5.196 Mg/m³
Offset from the most stable computed form: 0.552 eV per atom
Uncorrected formation energy: 340 meV per atom

Unit cell a=3.1459 b=3.1459 c=11.2305 alpha=90.00 beta=90.00 gamma=90.00
Fractional coordinates of all 4 atoms:
Br 0.5000 0.5000 0.7500
Au 0.5000 0.5000 0.2500
Cl 0.0000 0.0000 0.0961
Cl 0.0000 0.0000 0.4039


(3)
AuBrCl2 | PBE | optimized geometry

ρ: 4.168 Mg/m³
Offset from the most stable computed form: 0.277 eV per atom
Uncorrected formation energy: 64 meV per atom

Unit cell a=7.1968 b=4.3206 c=5.5096 alpha=53.97 beta=90.00 gamma=90.00
Fractional coordinates of all 4 atoms:
Cl 0.5000 0.3472 0.2011
Au 0.0000 0.5344 0.5666
Br 0.5000 0.6882 0.6945
Cl 0.0000 0.9302 0.0377


(4)
Au3Br2Cl4 | PBE | optimized geometry

ρ: 5.202 Mg/m³
Uncorrected formation energy: -158 meV per atom

Unit cell a=9.1585 b=9.1585 c=7.7438 alpha=72.37 beta=72.37 gamma=98.23
Fractional coordinates of all 18 atoms:
Au 0.6091 0.3909 0.7500
Cl 0.1840 0.0237 0.3848
Cl 0.9763 0.8160 0.1152
Br 0.2577 0.4388 0.1197
Cl 0.3827 0.8596 0.9171
Au 0.7822 0.9703 0.1138
Au 0.2178 0.0297 0.8862
Cl 0.1404 0.6173 0.5829
Au 0.3909 0.6091 0.2500
Cl 0.6173 0.1404 0.0829
Cl 0.8596 0.3827 0.4171
Cl 0.0237 0.1840 0.8848
Br 0.5612 0.7423 0.3803
Cl 0.8160 0.9763 0.6152
Br 0.4388 0.2577 0.6197
Au 0.9703 0.7822 0.6138
Br 0.7423 0.5612 0.8803
Au 0.0297 0.2178 0.3862


(5)
Au2BrCl4 | PBE | optimized geometry

ρ: 4.361 Mg/m³
Uncorrected formation energy: -139 meV per atom

Unit cell a=7.6659 b=7.8753 c=10.6818 alpha=118.35 beta=117.25 gamma=94.09
Fractional coordinates of all 14 atoms:
Cl 0.6751 0.0605 0.1411
Cl 0.8470 0.4903 0.6906
Au 0.1250 0.3750 0.7501
Au 0.6250 0.3750 0.7500
Cl 0.3372 0.9617 0.2429
Br 0.1240 0.1068 0.0545
Au 0.6250 0.8750 0.2500
Cl 0.3476 0.5306 0.5891
Cl 0.4030 0.2598 0.8095
Au 0.6250 0.3750 0.2500
Br 0.1260 0.6431 0.4454
Cl 0.9129 0.7884 0.2571
Cl 0.5750 0.6896 0.3590
Cl 0.9022 0.2190 0.9107


(6)
AuBrCl2 | PBE | optimized geometry

ρ: 5.231 Mg/m³
Offset from the most stable computed form: 0.203 eV per atom
Uncorrected formation energy: -10 meV per atom

Unit cell a=3.5715 b=5.5745 c=5.5974 alpha=82.16 beta=90.00 gamma=90.00
Fractional coordinates of all 4 atoms:
Cl 0.0000 0.4436 0.4444
Cl 0.0000 0.0564 0.0556
Au 0.5000 0.2500 0.2500
Br 0.5000 0.7500 0.7500


> What is the formula in the fifth record?

Au2BrCl4


> The lowest uncorrected formation energy belongs to which entry?

Au3Br2Cl4


> What is the ρ in the fourth record?

5.202 Mg/m³